1.
Computed, not measured: Hf2CoGeH after structural relaxation at the PBE level of DFT.

a = 4.3338 Å, b = 4.3338 Å, c = 3.6976 Å
α = 90.00°, β = 90.00°, γ = 90.00°
Sites, in units of the cell vectors:
1 Hf 0.0000 0.5000 0.0000
2 Hf 0.5000 0.0000 0.0000
3 Co 0.0000 0.0000 0.5000
4 Ge 0.5000 0.5000 0.5000
5 H 0.0000 0.0000 0.0000

total magnetic moment: 1.2 μB per formula unit
final energy: -36.8 eV per cell

2.
Computed, not measured: HfCo2GeH after structural relaxation at the PBE level of DFT.

a = 3.8377 Å, b = 3.8377 Å, c = 3.9347 Å
α = 90.00°, β = 90.00°, γ = 90.00°
Sites, in units of the cell vectors:
1 Hf 0.0000 0.0000 0.0000
2 Co 0.0000 0.5000 0.5000
3 Co 0.5000 0.0000 0.5000
4 Ge 0.5000 0.5000 0.0000
5 H 0.0000 0.0000 0.5000

total magnetic moment: 0.0 μB per formula unit
energy relative to the lowest polymorph listed for this composition: 0.180 eV/atom

3.
Computed, not measured: Hf2Co5Ge3H2 after structural relaxation at the PBE level of DFT.

a = 10.5066 Å, b = 10.5066 Å, c = 10.5066 Å
α = 159.66°, β = 159.66°, γ = 28.92°
Sites, in units of the cell vectors:
1 Hf 0.1996 0.1996 0.0000
2 Hf 0.8004 0.8004 0.0000
3 Co 0.0000 0.0000 0.0000
4 Co 0.0864 0.5864 0.5000
5 Co 0.4136 0.9136 0.5000
6 Co 0.5864 0.0864 0.5000
7 Co 0.9136 0.4136 0.5000
8 Ge 0.3368 0.3368 0.0000
9 Ge 0.5000 0.5000 0.0000
10 Ge 0.6632 0.6632 0.0000
11 H 0.0853 0.0853 0.0000
12 H 0.9147 0.9147 0.0000

total magnetic moment: 1.4 μB per formula unit
final energy: -80.3 eV per cell